DFT (PBE) results for an optimized crystal structure of PrSm2Sn.

Results
Energy relative to the lowest polymorph listed for this composition   104 meV per atom
Calculated density   7.5 Mg/m³
V   124 Å³/cell
Formation energy   -0.340 eV/atom
E   -4.895 eV per atom

Structure (POSCAR):
```
PrSm2Sn
1.0
4.181 0.000 0.000
0.000 4.181 0.000
0.000 0.000 7.101
Pr Sm Sn
1 2 1
Direct
0.000 0.000 0.000 Pr
0.500 0.500 0.282 Sm
0.500 0.500 0.718 Sm
0.000 0.000 0.500 Sn
```

=====

DFT (PBE) results for an optimized crystal structure of CoTcRh2.

Results
Energy relative to the lowest polymorph listed for this composition   294 meV per atom
Calculated density   10.8 Mg/m³
V   56 Å³/cell
Formation energy   0.275 eV/atom
E   -7.769 eV per atom

Structure (POSCAR):
```
CoTcRh2
1.0
4.537 0.000 0.000
0.000 4.537 0.000
0.000 0.000 2.710
Co Tc Rh
1 1 2
Direct
0.000 0.000 0.000 Co
0.500 0.500 0.000 Tc
0.000 0.500 0.500 Rh
0.500 0.000 0.500 Rh
```

=====

DFT (PBE) results for an optimized crystal structure of NiI2N2.

Results
Energy relative to the lowest polymorph listed for this composition   1926 meV per atom
Calculated density   4.6 Mg/m³
V   123 Å³/cell
Uncorrected formation energy   1.8782 eV per atom
E   -3.228 eV per atom

Structure (POSCAR):
```
NiI2N2
1.0
3.923 0.000 0.000
0.000 3.923 0.000
0.000 0.000 7.997
Ni I N
1 2 2
Direct
0.000 0.000 0.000 Ni
0.500 0.500 0.000 I
0.500 0.500 0.500 I
0.000 0.500 0.500 N
0.500 0.000 0.500 N
```

=====

DFT (PBE) results for an optimized crystal structure of Na2CrCl.

Results
Energy relative to the lowest polymorph listed for this composition   125 meV per atom
Calculated density   2.2 Mg/m³
V   198 Å³/cell
Uncorrected formation energy   -0.3888 eV per atom
E   -3.916 eV per atom

Structure (POSCAR):
```
Na2CrCl
1.0
3.703 0.000 0.000
-1.839 6.292 0.000
-0.014 -2.732 8.516
Na Cr Cl
4 2 2
Direct
0.000 0.000 0.000 Na
0.016 0.034 0.368 Na
0.349 0.701 0.531 Na
0.670 0.344 0.826 Na
0.306 0.616 0.136 Cr
0.714 0.429 0.222 Cr
0.001 0.005 0.690 Cl
0.686 0.374 0.496 Cl
```

=====

DFT (PBE) results for an optimized crystal structure of ZrNb2Ir.

Results
Energy relative to the lowest polymorph listed for this composition   0 meV per atom
Calculated density   11.1 Mg/m³
V   70 Å³/cell
Formation energy   -0.264 eV/atom
E   -9.652 eV per atom

Structure (POSCAR):
```
ZrNb2Ir
1.0
0.000 3.278 3.278
3.278 0.000 3.278
3.278 3.278 0.000
Zr Nb Ir
1 2 1
Direct
0.000 0.000 0.000 Zr
0.250 0.250 0.250 Nb
0.750 0.750 0.750 Nb
0.500 0.500 0.500 Ir
```

=====

DFT (PBE) results for an optimized crystal structure of Rb3CeTm2S6.

Results
Calculated density   4.6 Mg/m³
V   336 Å³/cell
Uncorrected formation energy   -1.8147 eV per atom
E   -5.360 eV per atom

Structure (POSCAR):
```
Rb3CeTm2S6
1.0
3.556 -6.159 0.000
3.556 6.159 0.000
-2.373 0.000 7.671
Rb Ce Tm S
3 1 2 6
Direct
0.000 0.000 0.000 Rb
0.335 0.665 0.000 Rb
0.665 0.335 0.000 Rb
0.500 0.500 0.500 Ce
0.167 0.833 0.500 Tm
0.833 0.167 0.500 Tm
0.091 0.436 0.308 S
0.219 0.219 0.691 S
0.436 0.091 0.308 S
0.564 0.909 0.692 S
0.781 0.781 0.309 S
0.909 0.564 0.692 S
```

=====

DFT (PBE) results for an optimized crystal structure of PaS.

Results
Energy relative to the lowest polymorph listed for this composition   441 meV per atom
Calculated density   11.1 Mg/m³
V   39 Å³/cell
Uncorrected formation energy   -1.1572 eV per atom
E   -7.969 eV per atom

Structure (POSCAR):
```
PaS
1.0
3.397 0.000 0.000
0.000 3.397 0.000
0.000 0.000 3.397
Pa S
1 1
Direct
0.000 0.000 0.000 Pa
0.500 0.500 0.500 S
```

=====

DFT (PBE) results for an optimized crystal structure of CaTbZnN2.

Results
Calculated density   5.3 Mg/m³
V   184 Å³/cell
Uncorrected formation energy   -0.5972 eV per atom
E   -5.508 eV per atom

Structure (POSCAR):
```
CaTbZnN2
1.0
5.244 0.000 0.000
0.000 5.382 0.000
0.000 0.000 6.512
Ca Tb Zn N
2 2 2 4
Direct
0.000 0.000 0.250 Ca
0.000 0.000 0.750 Ca
0.500 0.500 0.250 Tb
0.500 0.500 0.750 Tb
0.500 0.000 0.000 Zn
0.500 0.000 0.500 Zn
0.271 0.266 0.000 N
0.271 0.734 0.500 N
0.729 0.266 0.500 N
0.729 0.734 0.000 N
```

=====

DFT (PBE) results for an optimized crystal structure of Tb3Pm6YTm2.

Results
Calculated density   7.5 Mg/m³
V   393 Å³/cell
Formation energy   0.013 eV/atom
E   -4.804 eV per atom

Structure (POSCAR):
```
Tb3Pm6YTm2
1.0
3.121 -5.406 0.000
3.121 5.406 0.000
-2.076 0.000 11.647
Tb Pm Y Tm
3 6 1 2
Direct
0.000 0.000 0.000 Tb
0.333 0.667 0.000 Tb
0.667 0.333 0.000 Tb
0.082 0.416 0.251 Pm
0.249 0.249 0.749 Pm
0.416 0.082 0.251 Pm
0.584 0.918 0.749 Pm
0.751 0.751 0.251 Pm
0.918 0.584 0.749 Pm
0.500 0.500 0.500 Y
0.167 0.833 0.500 Tm
0.833 0.167 0.500 Tm
```

=====

DFT (PBE) results for an optimized crystal structure of PmSe2F8.

Results
Calculated density   4.1 Mg/m³
V   185 Å³/cell
Uncorrected formation energy   -2.1687 eV per atom
E   -4.595 eV per atom

Structure (POSCAR):
```
PmSe2F8
1.0
5.960 -2.676 0.000
5.960 2.676 0.000
-0.200 0.000 5.789
Pm Se F
1 2 8
Direct
0.000 0.000 0.000 Pm
0.290 0.290 0.568 Se
0.710 0.710 0.432 Se
0.162 0.162 0.799 F
0.166 0.639 0.766 F
0.361 0.834 0.234 F
0.386 0.386 0.334 F
0.614 0.614 0.666 F
0.639 0.166 0.766 F
0.834 0.361 0.234 F
0.838 0.838 0.201 F
```

=====

DFT (PBE) results for an optimized crystal structure of YInGa2.

Results
Calculated density   6.6 Mg/m³
V   86 Å³/cell
Formation energy   -0.475 eV/atom
E   -4.289 eV per atom

Structure (POSCAR):
```
YInGa2
1.0
4.488 0.000 0.000
0.000 4.488 0.000
0.000 0.000 4.269
Y In Ga
1 1 2
Direct
0.000 0.000 0.000 Y
0.500 0.500 0.000 In
0.000 0.500 0.500 Ga
0.500 0.000 0.500 Ga
```

=====

DFT (PBE) results for an optimized crystal structure of NdDy8Er4.

Results
Calculated density   8.5 Mg/m³
V   412 Å³/cell
Formation energy   0.199 eV/atom
E   -4.404 eV per atom

Structure (POSCAR):
```
NdDy8Er4
1.0
3.630 2.096 9.038
-3.630 2.096 9.038
0.000 -4.191 9.038
Nd Dy Er
1 8 4
Direct
0.000 0.000 0.000 Nd
0.251 0.251 0.696 Dy
0.251 0.696 0.251 Dy
0.282 0.282 0.282 Dy
0.304 0.749 0.749 Dy
0.696 0.251 0.251 Dy
0.718 0.718 0.718 Dy
0.749 0.304 0.749 Dy
0.749 0.749 0.304 Dy
0.000 0.000 0.500 Er
0.000 0.500 0.000 Er
0.500 0.000 0.000 Er
0.500 0.500 0.500 Er
```